Entry from Alexandria via LeMat-Bulk: an optimized crystal structure of Ta2VH (PBE).

Values from the calculation:
Energy above the lowest structure with this stoichiometry (eV/f.u.): 0.00
Magnetic moment (μB per formula unit): 0.00

a b c (Å): 2.858 2.858 8.037
angles (deg): 79.76 79.76 60.00
Element x y z (fractional)
H1 0.500 0.500 0.500
V1 0.000 0.000 0.000
Ta1 0.109 0.109 0.674
Ta2 0.891 0.891 0.326

Entry from Alexandria via LeMat-Bulk: an optimized crystal structure of PrB2Ir3 (PBE).

Values from the calculation:
Energy above the lowest structure with this stoichiometry (eV/f.u.): 0.00
Magnetic moment (μB per formula unit): 0.09
Energy of formation (eV/f.u.): -3.7

a b c (Å): 5.569 5.569 3.135
angles (deg): 90.00 90.00 120.00
Each line ends with the local moment (μB).
Element x y z (fractional)
Pr1 0.000 0.000 0.000  0.06
B1 0.667 0.333 0.000  0.00
B2 0.333 0.667 0.000  0.00
Ir1 0.500 0.500 0.500  0.00
Ir2 0.500 0.000 0.500  0.00
Ir3 0.000 0.500 0.500  0.00

Entry from Alexandria via LeMat-Bulk: an optimized crystal structure of PrDy2Ho6Er3 (PBE).

Values from the calculation:
Magnetic moment (μB per formula unit): 0.00
Energy of formation (eV/f.u.): 0.2

a b c (Å): 6.123 6.123 11.723
angles (deg): 94.98 94.98 119.95
Element x y z (fractional)
Pr1 0.000 0.000 0.000
Dy1 0.333 0.667 0.000
Dy2 0.667 0.333 0.000
Ho1 0.915 0.581 0.747
Ho2 0.751 0.751 0.253
Ho3 0.085 0.419 0.253
Ho4 0.581 0.915 0.747
Ho5 0.249 0.249 0.747
Ho6 0.419 0.085 0.253
Er1 0.167 0.833 0.500
Er2 0.833 0.167 0.500
Er3 0.500 0.500 0.500

Entry from Alexandria via LeMat-Bulk: an optimized crystal structure of Na6LiI8 (PBE).

Values from the calculation:
ΔE_f (raw) (eV/atom): -1.099
Magnetic moment (μB per formula unit): 0.01

a b c (Å): 9.132 9.132 9.132
angles (deg): 60.00 60.00 60.00
Element x y z (fractional)
Na1 0.000 0.500 0.500
Na2 0.500 0.000 0.000
Na3 0.500 0.500 0.000
Na4 0.000 0.000 0.500
Na5 0.000 0.500 0.000
Na6 0.500 0.000 0.500
Li1 0.000 0.000 0.000
I1 0.750 0.750 0.750
I2 0.250 0.250 0.250
I3 0.763 0.237 0.237
I4 0.237 0.763 0.763
I5 0.237 0.237 0.763
I6 0.763 0.763 0.237
I7 0.763 0.237 0.763
I8 0.237 0.763 0.237

Sequential volume output: 13.91 14.03 31.26 35.90 Å³ per atom